# 1
Ac6Hg3Ir2Cl: relaxed, PBE.

It has space group C2/m (No. 12), with a = 7.6720 Å, b = 13.2422 Å, c = 8.4146 Å, α = 90.00°, β = 106.94° and γ = 90.00°. The distinct sites, in fractional coordinates, are Ac at (0.2095, 0.0000, 0.2008), Ac at (0.2447, 0.1817, 0.7789), Hg at (0.0000, 0.0000, 0.5000), Hg at (0.0000, 0.3578, 0.5000), Ir at (0.0000, 0.1694, 0.0000) and Cl at (0.0000, 0.5000, 0.0000).

The final energy comes out at -4.52 eV/atom.



# 2
KReOsPb2: relaxed, PBE.

It has space group P4/mmm (No. 123), with a = 5.5424 Å, b = 5.5424 Å, c = 4.6582 Å, α = 90.00°, β = 90.00° and γ = 90.00°. The distinct sites, in fractional coordinates, are K at (0.0000, 0.0000, 0.0000), Re at (0.5000, 0.5000, 0.5000), Os at (0.0000, 0.0000, 0.5000) and Pb at (0.0000, 0.5000, 0.0000).

The final energy comes out at -3.44 eV/atom.



# 3
Pr2SmDy2Er2: relaxed, PBE.

It has space group C2/m (No. 12), with a = 16.8515 Å, b = 3.5499 Å, c = 8.7844 Å, α = 90.00°, β = 118.73° and γ = 90.00°. The distinct sites, in fractional coordinates, are Pr at (0.2050, 0.0000, 0.2877), Sm at (0.0000, 0.5000, 0.0000), Dy at (0.0700, 0.5000, 0.4310) and Er at (0.1379, 0.0000, 0.8329).

The final energy comes out at -4.61 eV/atom.



# 4
BaPRu2: relaxed, PBE.

It has space group F-43m (No. 216), with a = 6.8223 Å, b = 6.8223 Å, c = 6.8223 Å, α = 90.00°, β = 90.00° and γ = 90.00°. The distinct sites, in fractional coordinates, are Ba at (0.0000, 0.0000, 0.0000), P at (0.2500, 0.2500, 0.7500), Ru at (0.0000, 0.0000, 0.5000) and Ru at (0.2500, 0.2500, 0.2500).

The final energy comes out at -5.59 eV/atom.



# 5
NbCr: relaxed, PBE.

It has space group Fddd (No. 70, origin choice 2), with a = 6.3131 Å, b = 8.2799 Å, c = 9.7364 Å, α = 90.00°, β = 90.00° and γ = 90.00°. The distinct sites, in fractional coordinates, are Nb at (0.1250, 0.3181, 0.1250) and Cr at (0.0463, 0.3750, 0.8750).

The final energy comes out at -9.29 eV/atom.



# 6
Pr5TmTl2: relaxed, PBE.

It has space group P6_3/mmc (No. 194), with a = 5.6050 Å, b = 5.6050 Å, c = 20.4518 Å, α = 90.00°, β = 90.00° and γ = 120.00°. The distinct sites, in fractional coordinates, are Pr at (0.0000, 0.0000, 0.1611), Pr at (0.3333, 0.6667, 0.0604), Pr at (0.3333, 0.6667, 0.2500), Tm at (0.3333, 0.6667, 0.7500) and Tl at (0.3333, 0.6667, 0.5985).

The final energy comes out at -4.22 eV/atom.



# 7
Li4SmY3Se8: relaxed, PBE.

It has space group R-3m (No. 166, hexagonal axes), with a = 8.1870 Å, b = 8.1870 Å, c = 19.5292 Å, α = 90.00°, β = 90.00° and γ = 120.00°. The distinct sites, in fractional coordinates, are Li at (0.0000, 0.0000, 0.0000), Li at (0.0000, 0.5000, 0.0000), Sm at (0.0000, 0.0000, 0.5000), Y at (0.0000, 0.5000, 0.5000), Se at (0.0000, 0.0000, 0.2510) and Se at (0.0042, 0.5021, 0.7483).

The final energy comes out at -5.42 eV/atom.



# 8
Ba3GeRu: relaxed, PBE.

It has space group Pm-3m (No. 221), with a = 5.7088 Å, b = 5.7088 Å, c = 5.7088 Å, α = 90.00°, β = 90.00° and γ = 90.00°. The distinct sites, in fractional coordinates, are Ba at (0.0000, 0.0000, 0.5000), Ge at (0.5000, 0.5000, 0.5000) and Ru at (0.0000, 0.0000, 0.0000).

The final energy comes out at -3.73 eV/atom. The energy above the most stable polymorph in this dataset comes out at 0 meV per atom.



# 9
Tb5Tm2Sc4: relaxed, PBE.

It has space group C2/m (No. 12), with a = 11.6982 Å, b = 6.6465 Å, c = 9.9919 Å, α = 90.00°, β = 123.48° and γ = 90.00°. The distinct sites, in fractional coordinates, are Tb at (0.0000, 0.0000, 0.0000), Tb at (0.1586, 0.2707, 0.6666), Tm at (0.0854, 0.5000, 0.2858), Sc at (0.0913, 0.0000, 0.3649) and Sc at (0.2250, 0.5000, 0.0208).

The final energy comes out at -5.03 eV/atom. The energy above the most stable polymorph in this dataset comes out at 95 meV per atom.



# 10
BeNi2Pt3: relaxed, PBE.

It has space group Cmmm (No. 65), with a = 3.8703 Å, b = 11.7385 Å, c = 6.8290 Å, α = 90.00°, β = 90.00° and γ = 90.00°. The distinct sites, in fractional coordinates, are Be at (0.0000, 0.1586, 0.0000), Ni at (0.0000, 0.1711, 0.5000), Ni at (0.0000, 0.5000, 0.0000), Ni at (0.0000, 0.5000, 0.5000), Pt at (0.0000, 0.0000, 0.2449) and Pt at (0.0000, 0.3306, 0.2272).

The final energy comes out at -5.85 eV/atom.



# 11
Pu2Sc5Ge4: relaxed, PBE.

It has space group C2/m (No. 12), with a = 24.4199 Å, b = 3.1739 Å, c = 6.5769 Å, α = 90.00°, β = 90.11° and γ = 90.00°. The distinct sites, in fractional coordinates, are Pu at (0.0954, 0.0000, 0.2854), Sc at (0.0000, 0.5000, 0.0000), Sc at (0.1365, 0.0000, 0.8154), Sc at (0.2336, 0.0000, 0.2220), Ge at (0.0291, 0.0000, 0.6675) and Ge at (0.1794, 0.5000, 0.5094).

The final energy comes out at -7.40 eV/atom.



# 12
AlNiSnHg2: relaxed, PBE.

It has space group P4/mmm (No. 123), with a = 5.0314 Å, b = 5.0314 Å, c = 4.5582 Å, α = 90.00°, β = 90.00° and γ = 90.00°. The distinct sites, in fractional coordinates, are Al at (0.0000, 0.0000, 0.0000), Ni at (0.0000, 0.0000, 0.5000), Sn at (0.5000, 0.5000, 0.0000) and Hg at (0.0000, 0.5000, 0.5000).

The final energy comes out at -2.64 eV/atom. The energy above the most stable polymorph in this dataset comes out at 0 meV per atom.



# 13
Ce2CuF8: relaxed, PBE.

It has space group C2/m (No. 12), with a = 10.5064 Å, b = 7.5212 Å, c = 4.2250 Å, α = 90.00°, β = 109.72° and γ = 90.00°. The distinct sites, in fractional coordinates, are Ce at (0.1846, 0.0000, 0.4162), Cu at (0.0000, 0.5000, 0.0000), F at (0.0662, 0.0000, 0.8085), F at (0.1243, 0.2948, 0.3648) and F at (0.1856, 0.5000, 0.9421).

The final energy comes out at -6.16 eV/atom. The energy above the most stable polymorph in this dataset comes out at 6 meV per atom.



# 14
Sc5InAg4: relaxed, PBE.

It has space group P4/mmm (No. 123), with a = 3.4236 Å, b = 3.4236 Å, c = 17.6818 Å, α = 90.00°, β = 90.00° and γ = 90.00°. The distinct sites, in fractional coordinates, are Sc at (0.0000, 0.0000, 0.0000), Sc at (0.0000, 0.0000, 0.1956), Sc at (0.0000, 0.0000, 0.3903), In at (0.5000, 0.5000, 0.5000), Ag at (0.5000, 0.5000, 0.0971) and Ag at (0.5000, 0.5000, 0.2935).

The final energy comes out at -4.89 eV/atom.



# 15
SbPBr2: relaxed, PBE.

It has space group Cmmm (No. 65), with a = 6.5251 Å, b = 6.9796 Å, c = 4.5797 Å, α = 90.00°, β = 90.00° and γ = 90.00°. The distinct sites, in fractional coordinates, are Sb at (0.0000, 0.0000, 0.0000), P at (0.0000, 0.5000, 0.0000) and Br at (0.0000, 0.2603, 0.5000).

The final energy comes out at -2.86 eV/atom. The energy above the most stable polymorph in this dataset comes out at 554 meV per atom.



# 16
AcU2PbO8: relaxed, PBE.

It has space group P-3 (No. 147), with a = 5.1667 Å, b = 5.1667 Å, c = 10.8411 Å, α = 90.00°, β = 90.00° and γ = 120.00°. The distinct sites, in fractional coordinates, are Ac at (0.0000, 0.0000, 0.0000), U at (0.3333, 0.6667, 0.2596), Pb at (0.0000, 0.0000, 0.5000), O at (0.0122, 0.3485, 0.1621) and O at (0.3333, 0.6667, 0.4454).

The final energy comes out at -8.21 eV/atom.



# 17
Y2CrOs: relaxed, PBE.

It has space group Fm-3m (No. 225), with a = 6.9626 Å, b = 6.9626 Å, c = 6.9626 Å, α = 90.00°, β = 90.00° and γ = 90.00°. The distinct sites, in fractional coordinates, are Y at (0.2500, 0.2500, 0.2500), Cr at (0.0000, 0.0000, 0.0000) and Os at (0.0000, 0.0000, 0.5000).

The final energy comes out at -8.35 eV/atom. The energy above the most stable polymorph in this dataset comes out at 57 meV per atom.



# 18
Tb9Pm2Er3: relaxed, PBE.

It has space group P-1 (No. 2), with a = 3.5561 Å, b = 11.1953 Å, c = 11.7909 Å, α = 103.86°, β = 98.61° and γ = 90.10°. The distinct sites, in fractional coordinates, are Tb at (0.0000, 0.0000, 0.0000), Tb at (0.1476, 0.0754, 0.2953), Tb at (0.2080, 0.3729, 0.4170), Tb at (0.3592, 0.4268, 0.7188), Tb at (0.4245, 0.7290, 0.8504), Pm at (0.4218, 0.1957, 0.8437), Er at (0.0000, 0.5000, 0.0000) and Er at (0.2198, 0.8408, 0.4373).

The final energy comes out at -4.59 eV/atom.



# 19
Fe2Ir2Os3: relaxed, PBE.

It has space group P-1 (No. 2), with a = 4.6348 Å, b = 5.9816 Å, c = 7.0644 Å, α = 89.91°, β = 89.98° and γ = 75.23°. The distinct sites, in fractional coordinates, are Fe at (0.1409, 0.0710, 0.1440), Fe at (0.2811, 0.6470, 0.2857), Ir at (0.4239, 0.7202, 0.9336), Ir at (0.4291, 0.2181, 0.4313), Os at (0.0000, 0.0000, 0.5000), Os at (0.0000, 0.5000, 0.0000), Os at (0.1373, 0.5701, 0.6429) and Os at (0.2753, 0.1428, 0.7894).

The final energy comes out at -9.67 eV/atom.



# 20
KYV2Ag: relaxed, PBE.

It has space group P4/mmm (No. 123), with a = 5.3122 Å, b = 5.3122 Å, c = 5.4297 Å, α = 90.00°, β = 90.00° and γ = 90.00°. The distinct sites, in fractional coordinates, are K at (0.0000, 0.0000, 0.0000), Y at (0.5000, 0.5000, 0.0000), V at (0.0000, 0.5000, 0.5000) and Ag at (0.5000, 0.5000, 0.5000).

The final energy comes out at -4.59 eV/atom.



# 21
NaCaNpCl6: relaxed, PBE.

It has space group P-31c (No. 163), with a = 7.0947 Å, b = 7.0947 Å, c = 12.3994 Å, α = 90.00°, β = 90.00° and γ = 120.00°. The distinct sites, in fractional coordinates, are Na at (0.0000, 0.0000, 0.0000), Ca at (0.3333, 0.6667, 0.2500), Np at (0.3333, 0.6667, 0.7500) and Cl at (0.0013, 0.3487, 0.6301).

The final energy comes out at -4.99 eV/atom.



# 22
BaNi2Hg: relaxed, PBE.

It has space group I-4m2 (No. 119), with a = 4.1228 Å, b = 4.1228 Å, c = 9.9839 Å, α = 90.00°, β = 90.00° and γ = 90.00°. The distinct sites, in fractional coordinates, are Ba at (0.0000, 0.0000, 0.0000), Ni at (0.0000, 0.0000, 0.5000), Ni at (0.0000, 0.5000, 0.2500) and Hg at (0.0000, 0.5000, 0.7500).

The final energy comes out at -3.05 eV/atom.